# ScMoSe2

An optimized crystal structure of ScMoSe2 (PBE, the Alexandria database).

Values from the calculation:
Total moment   1.00 μB per cell
Energy relative to the elements, uncorrected   -0.594 eV/atom
DOS at the Fermi energy   3.8 states/eV/cell

Cell and atoms, written as extended XYZ:
```
4
Lattice="0.000 3.262 3.262 3.262 0.000 3.262 3.262 3.262 0.000" Properties=species:S:1:pos:R:3 pbc="T T T"
Sc 0.000 0.000 0.000
Mo 3.262 3.262 3.262
Se 1.631 1.631 1.631
Se 4.893 4.893 4.893
```

=====

# Nd4GaBiC

An optimized crystal structure of Nd4GaBiC (PBE, the Alexandria database).

Values from the calculation:
Total moment   0.00 μB per cell
DOS at the Fermi energy   5.3 states/eV/cell
ΔE_f   -0.44 eV/atom

Cell and atoms, written as extended XYZ:
```
14
Lattice="-6.863 -0.621 1.615 -0.733 -4.945 -5.018 5.228 -5.453 4.610" Properties=species:S:1:pos:R:3 pbc="T T T"
Nd -2.111 -6.372 4.088
Nd 0.915 -8.409 0.655
Nd -0.258 -4.647 -2.882
Nd -3.284 -2.610 0.552
Nd -1.184 -5.509 0.603
Nd 2.614 -2.726 2.305
Nd -0.818 -3.037 3.112
Nd 2.247 -5.199 -0.204
Ga 0.240 -2.594 0.022
Ga -2.609 -8.425 1.185
Bi -3.596 -5.256 -1.793
Bi 1.227 -5.762 3.000
C 0.341 -6.566 -1.078
C -2.709 -4.453 2.285
```